HgBi2N2 | PBE | relaxed

Values from the calculation:
The space-group type is P-1 (2). The formation energy from raw total energies comes out at 90 meV per atom. Its crystal system is triclinic. The value obtained for the spin magnetization is 0.000 μB per cell.

Cell lengths 8.7980, 6.3099, 9.9731 Å; angles 99.14, 69.19, 152.60 degrees
Element x y z (fractional)
Hg 0.0000 0.0000 0.0000
Bi 0.6381 0.1844 0.1194
Bi 0.3619 0.8156 0.8806
N 0.8994 0.8185 0.4952
N 0.1006 0.1815 0.5048